[1]
Compound: HoNbPd
Source: OQMD via LeMat-Bulk
Functional: GGA-PBE
Structure: relaxed

Summary:
The value obtained for the total energy is -0.2132 Ha/atom. The total magnetization is 2.39 μB/f.u. The calculated formation energy comes out at 0.815 eV/atom. The theoretical density comes out at 8.61 g/cm³.

a b c (Å): 6.5500 6.5500 6.5500
angles (deg): 90.00 90.00 90.00
Space group F-43m (No. 216)
Inequivalent atoms, fractional coordinates:
Ho (0.0000, 0.0000, 0.0000) (multiplicity 4)
Nb (0.2500, 0.2500, 0.7500) (multiplicity 4)
Pd (0.2500, 0.2500, 0.2500) (multiplicity 4)

=====

[2]
Compound: Tm2SbP
Source: OQMD via LeMat-Bulk
Functional: GGA-PBE
Structure: relaxed

Summary:
The value obtained for the total energy is -0.2143 Ha/atom. The total magnetization is 0.00 μB/f.u. The theoretical density comes out at 8.02 g/cm³.

a b c (Å): 4.1547 4.1547 5.8827
angles (deg): 90.00 90.00 90.00
Space group P4/mmm (No. 123)
Inequivalent atoms, fractional coordinates:
Tm (0.0000, 0.0000, 0.0000) (multiplicity 1)
Tm (0.5000, 0.5000, 0.5000) (multiplicity 1)
Sb (0.0000, 0.0000, 0.5000) (multiplicity 1)
P (0.5000, 0.5000, 0.0000) (multiplicity 1)

=====

[3]
Compound: Ni7W5
Source: OQMD via LeMat-Bulk
Functional: GGA-PBE
Structure: relaxed

Summary:
The value obtained for the total energy is -0.3008 Ha/atom. The total magnetization is 0.04 μB/f.u. The calculated formation energy comes out at 0.462 eV/atom. The theoretical density comes out at 12.75 g/cm³.

a b c (Å): 5.0487 5.0487 15.6914
angles (deg): 90.00 90.00 120.00
Space group P6_3/mmc (No. 194)
Inequivalent atoms, fractional coordinates:
Ni (0.0000, 0.0000, 0.0850) (multiplicity 4)
Ni (0.1512, 0.3023, 0.2500) (multiplicity 6)
Ni (0.3333, 0.6667, 0.6492) (multiplicity 4)
W (0.0000, 0.5000, 0.0000) (multiplicity 6)
W (0.3333, 0.6667, 0.1386) (multiplicity 4)

=====

[4]
Compound: KPrSeO
Source: OQMD via LeMat-Bulk
Functional: GGA-PBE
Structure: relaxed

Summary:
The value obtained for the total energy is -0.2070 Ha/atom. The total magnetization is 0.00 μB/f.u. The theoretical density comes out at 4.79 g/cm³.

a b c (Å): 3.9459 3.9459 21.2142
angles (deg): 90.00 90.00 120.00
Space group R3m (No. 160, hexagonal axes)
Inequivalent atoms, fractional coordinates:
K (0.0000, 0.0000, 0.0000) (multiplicity 3)
Pr (0.0000, 0.0000, 0.4770) (multiplicity 3)
Se (0.0000, 0.0000, 0.2325) (multiplicity 3)
O (0.0000, 0.0000, 0.7643) (multiplicity 3)

=====

[5]
Compound: Zr4GePN2
Source: OQMD via LeMat-Bulk
Functional: GGA-PBE
Structure: relaxed

Summary:
The value obtained for the total energy is -0.3277 Ha/atom. The total magnetization is 0.00 μB/f.u. The theoretical density comes out at 6.59 g/cm³.

a b c (Å): 3.3558 3.3558 12.8323
angles (deg): 90.00 90.00 120.00
Space group P-6m2 (No. 187)
Inequivalent atoms, fractional coordinates:
Zr (0.0000, 0.0000, 0.1408) (multiplicity 2)
Zr (0.6667, 0.3333, 0.3350) (multiplicity 2)
Ge (0.0000, 0.0000, 0.5000) (multiplicity 1)
P (0.6667, 0.3333, 0.0000) (multiplicity 1)
N (0.3333, 0.6667, 0.2404) (multiplicity 2)

=====

[6]
Compound: Mo4PAuC2
Source: OQMD via LeMat-Bulk
Functional: GGA-PBE
Structure: relaxed

Summary:
The value obtained for the total energy is -0.3268 Ha/atom. The total magnetization is 0.00 μB/f.u. The theoretical density comes out at 9.73 g/cm³.

a b c (Å): 3.1866 3.1866 12.3425
angles (deg): 90.00 90.00 120.00
Space group P-6m2 (No. 187)
Inequivalent atoms, fractional coordinates:
Mo (0.0000, 0.0000, 0.1371) (multiplicity 2)
Mo (0.6667, 0.3333, 0.3149) (multiplicity 2)
P (0.6667, 0.3333, 0.0000) (multiplicity 1)
Au (0.0000, 0.0000, 0.5000) (multiplicity 1)
C (0.3333, 0.6667, 0.2390) (multiplicity 2)

=====

[7]
Compound: Hf3NiAs
Source: OQMD via LeMat-Bulk
Functional: GGA-PBE
Structure: relaxed

Summary:
The value obtained for the total energy is -0.3129 Ha/atom. The total magnetization is 0.00 μB/f.u. The theoretical density comes out at 11.35 g/cm³.

a b c (Å): 3.5329 11.5596 9.5862
angles (deg): 90.00 90.00 90.00
Space group Cmcm (No. 63)
Inequivalent atoms, fractional coordinates:
Hf (0.0000, 0.0825, 0.2500) (multiplicity 4)
Hf (0.0000, 0.3440, 0.0842) (multiplicity 8)
Ni (0.0000, 0.2529, 0.7500) (multiplicity 4)
As (0.0000, 0.0000, 0.0000) (multiplicity 4)

=====

[8]
Compound: BaSn2Mo
Source: OQMD via LeMat-Bulk
Functional: GGA-PBE
Structure: relaxed

Summary:
The value obtained for the total energy is -0.1667 Ha/atom. The total magnetization is 2.52 μB/f.u. The theoretical density comes out at 7.62 g/cm³.

a b c (Å): 7.4291 7.4291 7.4291
angles (deg): 90.00 90.00 90.00
Space group F-43m (No. 216)
Inequivalent atoms, fractional coordinates:
Ba (0.0000, 0.0000, 0.0000) (multiplicity 4)
Sn (0.0000, 0.0000, 0.5000) (multiplicity 4)
Sn (0.2500, 0.2500, 0.7500) (multiplicity 4)
Mo (0.2500, 0.2500, 0.2500) (multiplicity 4)